[1]
The following is a DFT calculation (GGA-PBE) of an optimized crystal structure of MnCuPd2Pb.

Cell: 5.0792 5.0724 5.0792 Å, 90.00 90.00 90.00°
Closest atoms and distances in Å follow each position.
Element x y z (fractional)
Pb 0.0000 0.0000 0.0000  2 Mn 2.54, 4 Pd 2.54
Mn 0.0000 0.5000 0.0000  2 Pb 2.54
Cu 0.5000 0.5000 0.5000  8 Pd 3.59, 4 Mn 3.59
Pd 0.0000 0.0000 0.5000  2 Pb 2.54
Pd 0.5000 0.0000 0.0000  2 Pb 2.54

Output
- ΔE_f (kJ/mol of formula units) = 565.3

[2]
The following is a DFT calculation (GGA-PBE) of an optimized crystal structure of KMgAgSb.

Cell: 4.3665 4.3665 13.2674 Å, 90.00 90.00 90.00°
Closest atoms and distances in Å follow each position.
Element x y z (fractional)
K 0.7500 0.7500 0.2783  4 Sb 3.59, 4 Ag 3.66
K 0.2500 0.2500 0.7217  4 Sb 3.59, 4 Ag 3.66
Mg 0.7500 0.2500 0.0000  4 Sb 2.87, 4 Mg 3.09
Mg 0.2500 0.7500 0.0000  4 Sb 2.87, 4 Mg 3.09
Ag 0.2500 0.7500 0.5000  4 Ag 3.09
Ag 0.7500 0.2500 0.5000  4 Ag 3.09
Sb 0.7500 0.7500 0.8591  4 Mg 2.87
Sb 0.2500 0.2500 0.1409  4 Mg 2.87

Output
- raw total energy (eV/atom) = -2.63

[3]
The following is a DFT calculation (GGA-PBE) of an optimized crystal structure of Zr2BeIr.

Cell: 5.3524 5.3524 4.6282 Å, 73.35 73.35 33.01°
Closest atoms and distances in Å follow each position.
Element x y z (fractional)
Be 0.5339 0.5339 0.5162  2 Ir 2.36
Ir 0.2051 0.2051 0.2594  2 Be 2.36
Zr 0.9905 0.9905 0.0227  4 Be 2.72-2.89, 1 Ir 2.74, 2 Zr 3.04
Zr 0.7704 0.7704 0.7017  4 Ir 2.79-2.90, 3 Be 2.81-3.00, 3 Zr 3.04-3.05

Output
- ΔE_f (kJ/mol of formula units) = -138.8

[4]
The following is a DFT calculation (GGA-PBE) of an optimized crystal structure of HfNbMo2.

Cell: 4.6298 4.6298 4.6298 Å, 60.00 60.00 60.00°
Closest atoms and distances in Å follow each position.
Element x y z (fractional)
Mo 0.2500 0.2500 0.2500  4 Hf 2.84, 4 Nb 2.84
Mo 0.7500 0.7500 0.7500  4 Hf 2.84, 4 Nb 2.84
Hf 0.5000 0.5000 0.5000  8 Mo 2.84
Nb 0.0000 0.0000 0.0000  8 Mo 2.84

Output
- energy relative to the lowest polymorph listed for this composition (eV per atom) = 0.011
- ΔE_f (kJ/mol of formula units) = -26.1

The density results, record by record, are as follows: 6834; 3847; 9243; 10963 kg/m3.